No. 1
4
Lattice="4.889 0.010 -0.008 3.343 3.567 -0.008 1.546 0.672 5.490" Properties=species:S:1:pos:R:3 comment="GGA-PBE Mg2AlTe, optimized geometry" formation_energy_uncorrected_ev_per_fu=-0.50 relative_energy_mev_per_atom=15 pbc="T T T"
Al 2.445 1.062 1.369
Mg 8.267 3.592 0.153
Mg 4.855 2.109 2.568
Te 7.334 3.186 4.106



No. 2
8
Lattice="-2.311 5.510 2.884 -7.233 0.455 -0.193 -3.920 -2.498 4.868" Properties=species:S:1:pos:R:3 comment="GGA-PBE Tb6TlRh, optimized geometry" e_form_ev_per_fu=-0.825 pbc="T T T"
Tb -5.783 0.679 2.553
Tb -9.466 0.313 3.537
Tb -7.681 2.789 5.006
Tb -2.573 1.666 0.757
Tb -6.971 4.300 1.934
Tb -3.999 3.154 4.022
Tl 0.000 0.000 0.000
Rh -4.772 2.983 1.345



No. 3
5
Lattice="-2.377 3.607 2.882 -3.077 -4.895 3.589 3.975 -0.049 3.341" Properties=species:S:1:pos:R:3 comment="GGA-PBE BaCr2SnAu, optimized geometry" e_form_ev_per_fu=3.419 pbc="T T T"
Au -0.740 -0.669 4.906
Ba -1.539 -2.447 1.794
Sn 0.000 0.000 0.000
Cr -1.189 1.804 1.441
Cr 1.988 -0.025 1.670



No. 4
4
Lattice="-3.431 -1.948 2.498 0.532 -0.644 4.595 -2.449 2.587 3.020" Properties=species:S:1:pos:R:3 comment="GGA-PBE TiCuHg2, optimized geometry" e_form_ev_per_fu=0.745 pbc="T T T"
Hg -4.011 -0.004 7.584
Hg 0.000 0.000 0.000
Ti -1.337 -0.001 2.528
Cu -2.674 -0.003 5.056



No. 5
10
Lattice="6.205 0.000 0.000 3.102 7.001 0.000 3.102 0.000 7.001" Properties=species:S:1:pos:R:3 comment="GGA-PBE TbSm5Sc4, optimized geometry" e_form_ev_per_fu=3.318 pbc="T T T"
Sm 5.903 0.696 2.777
Sm 9.005 2.777 6.305
Sm 2.801 4.224 0.696
Sm 5.903 6.305 4.224
Sm 4.225 0.000 0.000
Sc 5.897 2.913 4.890
Sc 2.794 2.111 2.913
Sc 5.897 4.088 2.111
Sc 8.999 4.890 4.088
Tb 1.379 0.000 0.000



No. 6
16
Lattice="-2.849 2.021 4.502 -1.336 -6.940 -1.336 10.564 -3.826 8.403" Properties=species:S:1:pos:R:3 comment="GGA-PBE La3Sm2Ir3, optimized geometry" e_form_ev_per_fu=-4.583 pbc="T T T"
Sm 2.797 -5.501 4.239
Sm -1.101 -4.116 1.151
Sm 2.630 -6.555 8.212
Sm 7.501 -4.665 10.446
La 3.773 -2.053 3.309
La -0.179 -2.900 4.794
La 6.524 -5.862 6.760
La 3.718 -3.131 7.364
La 0.960 -1.056 1.082
La 5.361 -7.711 10.460
Ir 5.123 -3.888 4.987
Ir 1.468 -3.473 2.488
Ir -2.752 -3.391 3.386
Ir 9.107 -5.395 8.185
Ir 4.964 -5.269 9.112
Ir 1.299 -4.779 6.573